Record 1
# Ce8Hg3Pb4

A relaxed structure of Ce8Hg3Pb4 (PBE-GGA, Alexandria via LeMat-Bulk).

Summary:
space-group type	C2/m (12)
total energy	-4.3188	eV per atom
formation energy	-0.10	eV/atom

Geometry as POSCAR:
```
Ce8Hg3Pb4
1.0
11.0248 -0.1441 -0.2070
-5.4222 7.2054 -0.8451
-5.4222 -3.2939 6.4639
Hg Ce Pb
3 8 4
direct
0.5000 0.5000 0.5000
0.5000 0.0000 0.5000
0.5000 0.5000 0.0000
0.0000 0.6728 0.3272
0.5000 0.2544 0.7456
0.0000 0.3272 0.6728
0.5602 0.2991 0.2991
0.9774 0.7221 0.7221
0.4398 0.7009 0.7009
0.5000 0.7456 0.2544
0.0226 0.2779 0.2779
0.0000 0.5000 0.0000
0.0000 0.0000 0.0000
0.5000 0.0000 0.0000
0.0000 0.0000 0.5000
```

Record 2
# Ce2HgPb3

A relaxed structure of Ce2HgPb3 (PBE-GGA, Alexandria via LeMat-Bulk).

Summary:
space-group type	Immm (71)
total energy	-3.9637	eV per atom
formation energy	-0.08	eV/atom
energy above the lowest structure with this stoichiometry	0.2975	eV per atom

Geometry as POSCAR:
```
Ce2HgPb3
1.0
5.4772 0.0000 0.0000
0.0000 6.5357 0.0000
-2.7386 -3.2678 5.3616
Ce Pb Hg
2 3 1
direct
0.6802 0.1801 0.3603
0.3199 0.8199 0.6397
0.6604 0.6604 0.3208
0.0000 0.0000 0.0000
0.3396 0.3396 0.6792
0.0000 0.5000 0.0000
```

Question: The lowest total energy belongs to which entry?
Answer: Ce8Hg3Pb4